Crystalline Zr3TaV at its relaxed geometry. Source: the Alexandria database, functional PBE.

Lattice parameters (Å, degrees): 5.114 5.114 5.114 90.00 90.00 90.00
Space group Pm-3m (No. 221)
Inequivalent atoms, fractional coordinates:
Zr 0.000 0.000 0.500 x3
Ta 0.000 0.000 0.000 x1
V 0.500 0.500 0.500 x1

Results
- mass density (g/cm³) = 6.277
- energy above the lowest structure with this stoichiometry (eV per formula unit) = 1.57
- calculated total energy (eV/atom) = -8.1055
- DOS(E_F) (states/eV/f.u.) = 7.27
- crystal system = cubic